1.
{"formula": "AlCoNi3", "functional": "PBE", "state": "optimized geometry", "total_energy_ev_per_cell": -23.3, "cell": [[-2.552, -3.195, -1.008], [2.818, -1.361, -2.818], [1.813, -2.382, 2.962]], "species": ["Ni", "Ni", "Ni", "Co", "Al"], "frac_coords": [[0.000, 0.500, 0.000], [0.000, 0.000, 0.500], [0.500, 0.000, 0.000], [0.500, 0.500, 0.500], [0.000, 0.000, 0.000]]}

=====

2.
{"formula": "AlCo2Ni", "functional": "PBE", "state": "optimized geometry", "total_energy_ev_per_cell": -24.7, "cell": [[-1.779, 0.820, 1.756], [0.137, -2.992, 1.536], [3.802, 1.735, 3.040]], "species": ["Ni", "Co", "Co", "Al"], "frac_coords": [[0.000, 0.000, 0.500], [0.000, 0.000, 0.015], [0.500, 0.500, 0.239], [0.500, 0.500, 0.746]]}

=====

3.
{"formula": "AlCo2Ni6", "functional": "PBE", "state": "optimized geometry", "total_energy_ev_per_cell": -51.1, "cell": [[5.544, 0.000, 0.000], [0.000, 4.115, -2.376], [0.000, 0.000, 4.752]], "species": ["Al", "Co", "Co", "Ni", "Ni", "Ni", "Ni", "Ni", "Ni"], "frac_coords": [[0.500, 0.000, 0.000], [0.412, 0.667, 0.333], [0.588, 0.333, 0.667], [0.826, 0.828, 0.656], [0.826, 0.828, 0.172], [0.174, 0.656, 0.828], [0.826, 0.344, 0.172], [0.174, 0.172, 0.828], [0.174, 0.172, 0.344]]}

=====

4.
{"formula": "AlCo4Ni15", "functional": "PBE", "state": "optimized geometry", "total_energy_ev_per_cell": -120.3, "cell": [[-2.213, 1.566, -2.261], [-2.704, -1.768, 1.422], [-2.506, 13.104, 11.526]], "species": ["Al", "Co", "Co", "Co", "Co", "Ni", "Ni", "Ni", "Ni", "Ni", "Ni", "Ni", "Ni", "Ni", "Ni", "Ni", "Ni", "Ni", "Ni", "Ni"], "frac_coords": [[0.000, 0.000, 0.000], [0.000, 0.000, 0.201], [0.000, 0.000, 0.401], [0.000, 0.000, 0.599], [0.000, 0.000, 0.799], [0.500, 0.500, 0.000], [0.500, 0.500, 0.202], [0.500, 0.500, 0.400], [0.500, 0.500, 0.600], [0.500, 0.500, 0.798], [0.500, 0.000, 0.103], [0.500, 0.000, 0.301], [0.500, 0.000, 0.500], [0.500, 0.000, 0.699], [0.500, 0.000, 0.897], [0.000, 0.500, 0.103], [0.000, 0.500, 0.301], [0.000, 0.500, 0.500], [0.000, 0.500, 0.699], [0.000, 0.500, 0.897]]}

=====

no.,mass density (g/cm3),total magnetization (μB/atom)
1,5.82,0.44
2,7.39,0.67
3,7.61,0.74
4,8.64,0.77